Entry from the Alexandria database: Cs4PuTl3Br12 after structural relaxation (PBE).

Computed properties:
The calculation puts the total energy at -3.559 eV per atom. As for the crystal system: cubic. The calculation puts the density of states at the Fermi level at 0.63 states/eV/atom. Its symmetry is Im-3m (229). The uncorrected formation energy is -1.3126 eV per atom.

Cell lengths 10.3515, 10.3515, 10.3515 Å; angles 109.47, 109.47, 109.47 degrees
Each line ends with the local moment (μB).
Atoms (fractional coordinates):
Cs 0.5000 0.5000 0.5000  0.00
Cs 0.0000 0.0000 0.5000  0.00
Cs 0.5000 0.0000 0.0000  0.00
Cs 0.0000 0.5000 0.0000  0.00
Pu 0.0000 0.0000 0.0000  4.85
Tl 0.5000 0.0000 0.5000  0.01
Tl 0.5000 0.5000 0.0000  0.01
Tl 0.0000 0.5000 0.5000  0.01
Br 0.2500 0.5000 0.7500  0.01
Br 0.7650 0.0000 0.7650  -0.04
Br 0.2350 0.0000 0.2350  -0.04
Br 0.7500 0.5000 0.2500  0.01
Br 0.7650 0.7650 0.0000  -0.04
Br 0.2350 0.2350 0.0000  -0.04
Br 0.7500 0.2500 0.5000  0.01
Br 0.2500 0.7500 0.5000  0.01
Br 0.5000 0.2500 0.7500  0.01
Br 0.0000 0.7650 0.7650  -0.04
Br 0.5000 0.7500 0.2500  0.01
Br 0.0000 0.2350 0.2350  -0.04